VASP calculation (GGA+U) on a relaxed Hf2FeO crystal.

Calculated values
Total magnetic moment, Bohr magnetons per cell: 3.1
Final energy, eV/atom: -8.260
Fermi-level density of states, states/eV/f.u.: 1.89

Cell lengths 2.9638, 2.9638, 8.8068 Å; angles 80.31, 80.31, 60.00 degrees
Last column: nearest neighbours and their distance in Å.
Fractional positions:
Hf  0.1064  0.1064  0.6807  3 O 2.32
Hf  0.8936  0.8936  0.3193  3 O 2.32
Fe  0.0000  0.0000  0.0000  2 Hf 2.76, 6 Fe 2.96
O  0.5000  0.5000  0.5000  6 Hf 2.32